# 1
The following is a DFT calculation (SCAN) of a crystal of BaSc2In relaxed with PBEsol.

Calculated values
* formation enthalpy at 0 K: -0.0383 eV per atom

```
4
Lattice="3.574 0.000 0.000 0.000 5.790 0.000 -1.787 -2.895 5.597" Properties=species:S:1:pos:R:3 pbc="T T T"
Ba 1.787 0.000 0.000
Sc 0.000 0.000 3.175
Sc 1.787 2.895 2.422
In 0.000 2.895 0.000
```

=====

# 2
The following is a DFT calculation (SCAN) of a crystal of CsNaAsBr2 relaxed with PBEsol.

Calculated values
* ΔE_f (raw): -0.82 eV/atom

```
5
Lattice="-4.397 -2.776 -2.069 0.262 -3.635 4.321 -3.487 3.298 2.986" Properties=species:S:1:pos:R:3 pbc="T T T"
Br 0.131 -1.817 2.161
As -2.199 -1.388 -1.035
Br -1.744 1.649 1.493
Na 0.000 0.000 0.000
Cs -3.811 -1.557 2.619
```

=====

| no. | size of the total moment (Bohr magnetons per cell) |
| --- | --- |
| 1 | 0.0 |
| 2 | 3.0 |